1.
A crystal of BaEr2NiO5 relaxed with PBEsol, computed with SCAN.

```
data_BaEr2NiO5
_cell_length_a 3.700
_cell_length_b 5.670
_cell_length_c 6.529
_cell_angle_alpha 115.74
_cell_angle_beta 106.46
_cell_angle_gamma 90.00
_space_group_name_H-M_alt 'P 1'
_space_group_IT_number 1
_space_group_name_Hall 'P 1'
loop_
_atom_site_label
_atom_site_fract_x
_atom_site_fract_y
_atom_site_fract_z
O1 0.500 0.000 0.000
O2 0.150 0.912 0.301
O3 0.850 0.088 0.699
O4 0.850 0.611 0.699
O5 0.150 0.389 0.301
Ni1 0.000 0.000 0.000
Ba1 0.500 0.500 0.000
Er1 0.298 0.798 0.596
Er2 0.702 0.202 0.404
```

Computed properties:
Total magnetic moment   2.0 μB per formula unit
Uncorrected formation energy   -3.134 eV/atom

=====

2.
A crystal of Ba5Er8Ni4O21 relaxed with PBEsol, computed with SCAN.

```
data_Ba5Er8Ni4O21
_cell_length_a 5.608
_cell_length_b 9.932
_cell_length_c 9.932
_cell_angle_alpha 85.43
_cell_angle_beta 73.60
_cell_angle_gamma 73.60
_space_group_name_H-M_alt 'P 1'
_space_group_IT_number 1
_space_group_name_Hall 'P 1'
loop_
_atom_site_label
_atom_site_fract_x
_atom_site_fract_y
_atom_site_fract_z
Ba1 0.861 0.599 0.679
Ba2 0.139 0.401 0.321
Ba3 0.460 0.679 0.401
Ba4 0.540 0.321 0.599
Ba5 0.000 0.000 0.000
Er1 0.752 0.414 0.082
Er2 0.248 0.586 0.918
Er3 0.166 0.082 0.586
Er4 0.834 0.918 0.414
Er5 0.587 0.768 0.057
Er6 0.413 0.232 0.943
Er7 0.355 0.057 0.232
Er8 0.645 0.943 0.768
Ni1 0.959 0.284 0.799
Ni2 0.041 0.716 0.201
Ni3 0.242 0.799 0.716
Ni4 0.758 0.201 0.284
O1 0.098 0.407 0.887
O2 0.902 0.593 0.113
O3 0.391 0.593 0.113
O4 0.505 0.887 0.593
O5 0.609 0.407 0.887
O6 0.495 0.113 0.407
O7 0.985 0.113 0.407
O8 0.015 0.887 0.593
O9 0.500 0.000 0.000
O10 0.633 0.405 0.328
O11 0.367 0.595 0.672
O12 0.039 0.328 0.595
O13 0.961 0.672 0.405
O14 0.072 0.228 0.130
O15 0.928 0.772 0.870
O16 0.430 0.772 0.870
O17 0.300 0.130 0.772
O18 0.570 0.228 0.130
O19 0.700 0.870 0.228
O20 0.202 0.870 0.228
O21 0.798 0.130 0.772
```

Computed properties:
Total magnetic moment   8.0 μB per formula unit
Uncorrected formation energy   -3.141 eV/atom

=====

3.
A crystal of BaErO3 relaxed with PBEsol, computed with SCAN.

```
data_BaErO3
_cell_length_a 4.336
_cell_length_b 4.336
_cell_length_c 4.336
_cell_angle_alpha 90.00
_cell_angle_beta 90.00
_cell_angle_gamma 90.00
_space_group_name_H-M_alt 'P 1'
_space_group_IT_number 1
_space_group_name_Hall 'P 1'
loop_
_atom_site_label
_atom_site_fract_x
_atom_site_fract_y
_atom_site_fract_z
Ba1 0.500 0.500 0.500
O1 0.000 0.500 0.000
O2 0.500 0.000 0.000
O3 0.000 0.000 0.500
Er1 0.000 0.000 0.000
```

Computed properties:
Total magnetic moment   1.0 μB per formula unit
Density of states at the Fermi level   2.81 states/eV per cell
Uncorrected formation energy   -3.030 eV/atom

=====

4.
A crystal of Ba4ErRu3O12 relaxed with PBEsol, computed with SCAN.

```
data_Ba4ErRu3O12
_cell_length_a 5.826
_cell_length_b 5.826
_cell_length_c 10.230
_cell_angle_alpha 73.46
_cell_angle_beta 73.46
_cell_angle_gamma 60.00
_space_group_name_H-M_alt 'P 1'
_space_group_IT_number 1
_space_group_name_Hall 'P 1'
loop_
_atom_site_label
_atom_site_fract_x
_atom_site_fract_y
_atom_site_fract_z
Ru1 0.413 0.413 0.760
Ru2 0.587 0.587 0.240
Ru3 0.500 0.500 0.500
Ba1 0.286 0.286 0.141
Ba2 0.714 0.714 0.859
Ba3 0.129 0.129 0.614
Ba4 0.871 0.871 0.386
O1 0.782 0.307 0.130
O2 0.307 0.782 0.130
O3 0.782 0.782 0.130
O4 0.218 0.218 0.870
O5 0.693 0.218 0.870
O6 0.218 0.693 0.870
O7 0.613 0.147 0.627
O8 0.147 0.613 0.627
O9 0.613 0.613 0.627
O10 0.387 0.387 0.373
O11 0.853 0.387 0.373
O12 0.387 0.853 0.373
Er1 0.000 0.000 0.000
```

Computed properties:
Total magnetic moment   3.1 μB per formula unit
Density of states at the Fermi level   8.14 states/eV per cell
Uncorrected formation energy   -2.405 eV/atom

=====

5.
A crystal of Ba3ErRu2O9 relaxed with PBEsol, computed with SCAN.

```
data_Ba3ErRu2O9
_cell_length_a 5.844
_cell_length_b 5.844
_cell_length_c 14.306
_cell_angle_alpha 90.00
_cell_angle_beta 90.00
_cell_angle_gamma 120.00
_space_group_name_H-M_alt 'P 1'
_space_group_IT_number 1
_space_group_name_Hall 'P 1'
loop_
_atom_site_label
_atom_site_fract_x
_atom_site_fract_y
_atom_site_fract_z
Ba1 0.000 0.000 0.250
Ba2 0.000 0.000 0.750
Ba3 0.333 0.667 0.594
Ba4 0.667 0.333 0.094
Ba5 0.667 0.333 0.406
Ba6 0.333 0.667 0.906
Er1 0.000 0.000 0.500
Er2 0.000 0.000 0.000
Ru1 0.333 0.667 0.336
Ru2 0.667 0.333 0.836
Ru3 0.667 0.333 0.664
Ru4 0.333 0.667 0.164
O1 0.018 0.509 0.250
O2 0.509 0.491 0.750
O3 0.509 0.018 0.750
O4 0.491 0.982 0.250
O5 0.491 0.509 0.250
O6 0.982 0.491 0.750
O7 0.648 0.824 0.088
O8 0.824 0.176 0.588
O9 0.824 0.648 0.588
O10 0.176 0.352 0.088
O11 0.176 0.824 0.088
O12 0.352 0.176 0.912
O13 0.824 0.176 0.912
O14 0.352 0.176 0.588
O15 0.824 0.648 0.912
O16 0.176 0.352 0.412
O17 0.648 0.824 0.412
O18 0.176 0.824 0.412
```

Computed properties:
Total magnetic moment   3.0 μB per formula unit
Density of states at the Fermi level   9.79 states/eV per cell
Uncorrected formation energy   -2.522 eV/atom

=====

6.
A crystal of Ba2ErSbO6 relaxed with PBEsol, computed with SCAN.

```
data_Ba2ErSbO6
_cell_length_a 5.925
_cell_length_b 5.925
_cell_length_c 5.925
_cell_angle_alpha 60.00
_cell_angle_beta 60.00
_cell_angle_gamma 60.00
_space_group_name_H-M_alt 'P 1'
_space_group_IT_number 1
_space_group_name_Hall 'P 1'
loop_
_atom_site_label
_atom_site_fract_x
_atom_site_fract_y
_atom_site_fract_z
Sb1 0.500 0.500 0.500
Ba1 0.750 0.750 0.750
Ba2 0.250 0.250 0.250
O1 0.739 0.739 0.261
O2 0.261 0.739 0.261
O3 0.739 0.261 0.261
O4 0.261 0.739 0.739
O5 0.739 0.261 0.739
O6 0.261 0.261 0.739
Er1 0.000 0.000 0.000
```

Computed properties:
Total magnetic moment   0.0 μB per formula unit
Density of states at the Fermi level   0.00 states/eV per cell
Uncorrected formation energy   -2.980 eV/atom

=====

7.
A crystal of Ba5Er8Zn4O21 relaxed with PBEsol, computed with SCAN.

```
data_Ba5Er8Zn4O21
_cell_length_a 5.641
_cell_length_b 10.018
_cell_length_c 10.018
_cell_angle_alpha 85.45
_cell_angle_beta 73.65
_cell_angle_gamma 73.65
_space_group_name_H-M_alt 'P 1'
_space_group_IT_number 1
_space_group_name_Hall 'P 1'
loop_
_atom_site_label
_atom_site_fract_x
_atom_site_fract_y
_atom_site_fract_z
Ba1 0.536 0.324 0.604
Ba2 0.860 0.604 0.676
Ba3 0.140 0.396 0.324
Ba4 0.464 0.676 0.396
Ba5 0.000 0.000 0.000
Er1 0.412 0.230 0.945
Er2 0.643 0.945 0.770
Er3 0.357 0.055 0.230
Er4 0.588 0.770 0.055
Er5 0.247 0.585 0.921
Er6 0.832 0.921 0.415
Er7 0.168 0.079 0.585
Er8 0.753 0.415 0.079
Zn1 0.040 0.710 0.209
Zn2 0.750 0.209 0.290
Zn3 0.250 0.791 0.710
Zn4 0.960 0.290 0.791
O1 0.397 0.594 0.109
O2 0.991 0.109 0.406
O3 0.506 0.891 0.594
O4 0.100 0.406 0.891
O5 0.603 0.406 0.891
O6 0.009 0.891 0.594
O7 0.494 0.109 0.406
O8 0.900 0.594 0.109
O9 0.572 0.226 0.129
O10 0.798 0.129 0.774
O11 0.701 0.871 0.226
O12 0.926 0.774 0.871
O13 0.428 0.774 0.871
O14 0.202 0.871 0.226
O15 0.299 0.129 0.774
O16 0.074 0.226 0.129
O17 0.629 0.410 0.332
O18 0.500 0.000 0.000
O19 0.371 0.590 0.668
O20 0.961 0.668 0.410
O21 0.039 0.332 0.590
```

Computed properties:
Total magnetic moment   0.0 μB per formula unit
Density of states at the Fermi level   0.00 states/eV per cell
Uncorrected formation energy   -3.199 eV/atom